[1]
A PBEsol-optimized structure of YHfMnBi2. Source: Alexandria via LeMat-Bulk, functional meta-GGA SCAN.

```
data_YHfMnBi2
_space_group_name_H-M_alt 'P 1'
_space_group_IT_number 1
_cell_length_a 4.793
_cell_length_b 5.122
_cell_length_c 5.122
_cell_angle_alpha 90.00
_cell_angle_beta 90.00
_cell_angle_gamma 90.00
loop_
_space_group_symop_operation_xyz
'x,y,z'
loop_
_atom_site_label
_atom_site_fract_x
_atom_site_fract_y
_atom_site_fract_z
Y1 0.500 0.000 0.000
Mn1 0.000 0.000 0.000
Hf1 0.500 0.500 0.500
Bi1 0.000 0.000 0.500
Bi2 0.000 0.500 0.000
```

Output
Space-group type: P4/mmm

***

[2]
A PBEsol-optimized structure of Hf3BiMo. Source: Alexandria via LeMat-Bulk, functional meta-GGA SCAN.

```
data_Hf3BiMo
_space_group_name_H-M_alt 'P 1'
_space_group_IT_number 1
_cell_length_a 4.974
_cell_length_b 4.974
_cell_length_c 4.974
_cell_angle_alpha 90.00
_cell_angle_beta 90.00
_cell_angle_gamma 90.00
loop_
_space_group_symop_operation_xyz
'x,y,z'
loop_
_atom_site_label
_atom_site_fract_x
_atom_site_fract_y
_atom_site_fract_z
Mo1 0.000 0.000 0.000
Hf1 0.000 0.500 0.000
Hf2 0.000 0.000 0.500
Hf3 0.500 0.000 0.000
Bi1 0.500 0.500 0.500
```

Output
Space-group type: Pm-3m

***

[3]
A PBEsol-optimized structure of HfBiMoRu2. Source: Alexandria via LeMat-Bulk, functional meta-GGA SCAN.

```
data_HfBiMoRu2
_space_group_name_H-M_alt 'P 1'
_space_group_IT_number 1
_cell_length_a 4.616
_cell_length_b 4.616
_cell_length_c 4.988
_cell_angle_alpha 90.00
_cell_angle_beta 90.00
_cell_angle_gamma 90.00
loop_
_space_group_symop_operation_xyz
'x,y,z'
loop_
_atom_site_label
_atom_site_fract_x
_atom_site_fract_y
_atom_site_fract_z
Ru1 0.000 0.500 0.000
Ru2 0.500 0.000 0.000
Mo1 0.000 0.000 0.000
Hf1 0.000 0.000 0.500
Bi1 0.500 0.500 0.500
```

Output
Space-group type: P4/mmm

***

[4]
A PBEsol-optimized structure of Hf3NbBi. Source: Alexandria via LeMat-Bulk, functional meta-GGA SCAN.

```
data_Hf3NbBi
_space_group_name_H-M_alt 'P 1'
_space_group_IT_number 1
_cell_length_a 5.035
_cell_length_b 5.035
_cell_length_c 5.035
_cell_angle_alpha 90.00
_cell_angle_beta 90.00
_cell_angle_gamma 90.00
loop_
_space_group_symop_operation_xyz
'x,y,z'
loop_
_atom_site_label
_atom_site_fract_x
_atom_site_fract_y
_atom_site_fract_z
Nb1 0.000 0.000 0.000
Hf1 0.000 0.500 0.000
Hf2 0.000 0.000 0.500
Hf3 0.500 0.000 0.000
Bi1 0.500 0.500 0.500
```

Output
Space-group type: Pm-3m

***

For each record above, in turn, the calculated total energy values are -52.664; -59.700; -48.055; -59.104 eV per atom.
For each record above, in turn, the calculated formation enthalpy at 0 K values are 0.5218; 0.5966; 1.1036; 0.8415 eV per atom.
For each record above, in turn, the calculated size of the total moment values are 2.82; 0.00; 0.00; 0.00 μB per cell.